Record 1
Compound: TlSnN2
Source: Alexandria via LeMat-Bulk
Functional: PBE-GGA
Structure: relaxed

Cell: 6.666 6.666 6.666 Å, 31.44 31.44 31.44°
Element x y z (fractional)
Tl1 0.500 0.500 0.500
Sn1 0.000 0.000 0.000
N1 0.894 0.894 0.894
N2 0.106 0.106 0.106

Calculated values
* offset from the most stable computed form: 896 meV/atom
* density of states at the Fermi level: 0.6283 states/eV/atom
* ΔE_f (raw): 1.08 eV/atom
* total magnetic moment: 0.000 μB per atom

=====

Record 2
Compound: TlSnN3
Source: Alexandria via LeMat-Bulk
Functional: PBE-GGA
Structure: relaxed

Cell: 4.340 4.340 4.340 Å, 90.00 90.00 90.00°
Element x y z (fractional)
N1 0.000 0.500 0.000
N2 0.500 0.000 0.000
N3 0.000 0.000 0.500
Tl1 0.000 0.000 0.000
Sn1 0.500 0.500 0.500

Calculated values
* density of states at the Fermi level: 0.8652 states/eV/atom
* ΔE_f (raw): 2.17 eV/atom
* total magnetic moment: 0.639 μB per atom

=====

Q: What is the density of states at the Fermi level in the first record?
A: 0.6283 states/eV/atom

=====

What did the second record say?
Compound: TlSnN3
Source: Alexandria via LeMat-Bulk
Functional: PBE-GGA
Structure: relaxed

Cell: 4.340 4.340 4.340 Å, 90.00 90.00 90.00°
Element x y z (fractional)
N1 0.000 0.500 0.000
N2 0.500 0.000 0.000
N3 0.000 0.000 0.500
Tl1 0.000 0.000 0.000
Sn1 0.500 0.500 0.500

Calculated values
* density of states at the Fermi level: 0.8652 states/eV/atom
* ΔE_f (raw): 2.17 eV/atom
* total magnetic moment: 0.639 μB per atom